Below is a relaxed Li2TaRh crystal, with properties calculated at the PBE level.

Geometry as POSCAR:
```
Li2TaRh
1.0
-1.350 2.270 1.891
1.845 -0.976 2.489
3.730 3.408 -1.429
Li Rh Ta
2 1 1
direct
0.000 0.000 0.034
0.000 0.000 0.466
0.500 0.500 0.250
0.500 0.500 0.750
```

Properties
Raw total energy ... -22.16 eV/f.u.
DOS at the Fermi energy ... 2.46 states/eV/f.u.